# ZrIrOs2

A geometry-optimized ZrIrOs2 structure (PBE, Alexandria via LeMat-Bulk).

```
ZrIrOs2
1.0
4.5278 0.0000 0.0000
0.0000 2.8648 -0.0086
0.0000 0.0144 4.8964
Ir Os Zr
1 2 1
Direct
0.5000 0.8750 0.7098
0.5000 0.3751 0.1823
0.0000 0.8750 0.0562
0.0000 0.3749 0.5516
```

DOS at the Fermi energy: 1.0873 states/eV/atom
Size of the total moment: 0.0 μB per cell
ΔE_f: -152 meV per atom